A relaxed structure of CrNiF6, computed with PBE+U.

a = 4.9115 Å, b = 4.8943 Å, c = 5.2386 Å
α = 63.53°, β = 61.88°, γ = 61.37°
Closest atoms and distances in Å follow each position.
Fractional positions:
Ni  0.5000  0.5000  0.5000  6 F 1.85-1.99
F  0.7524  0.1125  0.7534  1 Cr 1.91, 1 Ni 1.99
F  0.3940  0.7400  0.7440  1 Ni 1.85, 1 Cr 1.97
F  0.8741  0.6119  0.2563  1 Ni 1.85, 1 Cr 1.97
F  0.6060  0.2600  0.2560  1 Ni 1.85, 1 Cr 1.97
F  0.2476  0.8875  0.2467  1 Cr 1.91, 1 Ni 1.99
F  0.1259  0.3881  0.7437  1 Ni 1.85, 1 Cr 1.97
Cr  0.0000  0.0000  0.0000  6 F 1.91-1.97

**Uncorrected energy**: -4.810 eV per atom
**Calculated density**: 4.0 g cm⁻³



A relaxed structure of Cr2NiF, computed with PBE+U.

a = 4.2166 Å, b = 4.2166 Å, c = 4.2166 Å
α = 60.00°, β = 60.00°, γ = 60.00°
Closest atoms and distances in Å follow each position.
Fractional positions:
Ni  0.5000  0.5000  0.5000  8 Cr 2.58
F  0.0000  0.0000  0.0000  8 Cr 2.58
Cr  0.2500  0.2500  0.2500  4 F 2.58, 4 Ni 2.58
Cr  0.7500  0.7500  0.7500  4 F 2.58, 4 Ni 2.58

**Energy above the lowest structure with this stoichiometry**: 1058 meV/atom
**Uncorrected energy**: -3.595 eV per atom
**Calculated density**: 5.7 g cm⁻³



A relaxed structure of CrNi3F, computed with PBE+U.

a = 4.3018 Å, b = 4.3018 Å, c = 4.3018 Å
α = 90.00°, β = 90.00°, γ = 90.00°
Closest atoms and distances in Å follow each position.
Fractional positions:
Ni  0.0000  0.5000  0.0000  2 Cr 2.15
Ni  0.0000  0.0000  0.5000  2 Cr 2.15
Ni  0.5000  0.0000  0.0000  2 Cr 2.15
F  0.5000  0.5000  0.5000  12 Ni 3.04
Cr  0.0000  0.0000  0.0000  6 Ni 2.15

**Energy above the lowest structure with this stoichiometry**: 1795 meV/atom
**Uncorrected energy**: -1.258 eV per atom
**Calculated density**: 5.2 g cm⁻³



A relaxed structure of CrNi3F, computed with PBE+U.

a = 4.1425 Å, b = 4.1425 Å, c = 4.1425 Å
α = 90.00°, β = 90.00°, γ = 90.00°
Closest atoms and distances in Å follow each position.
Fractional positions:
Cr  0.5000  0.5000  0.5000  12 Ni 2.93
Ni  0.0000  0.5000  0.0000  2 F 2.07
Ni  0.0000  0.0000  0.5000  2 F 2.07
Ni  0.5000  0.0000  0.0000  2 F 2.07
F  0.0000  0.0000  0.0000  6 Ni 2.07

**Energy above the lowest structure with this stoichiometry**: 0 meV/atom
**Uncorrected energy**: -3.053 eV per atom
**Calculated density**: 5.8 g cm⁻³



A relaxed structure of CrNiF4, computed with PBE+U.

a = 5.0072 Å, b = 5.3120 Å, c = 6.5380 Å
α = 114.27°, β = 112.83°, γ = 89.28°
Closest atoms and distances in Å follow each position.
Fractional positions:
Cr  0.4062  0.1562  0.8124  6 F 2.07-2.32
Cr  0.5938  0.8438  0.1876  6 F 2.07-2.32
Ni  0.1626  0.4126  0.3253  6 F 2.01-2.11
Ni  0.8374  0.5874  0.6747  6 F 2.01-2.11
F  0.2099  0.8652  0.9223  1 Ni 2.01, 1 Cr 2.07
F  0.7124  0.5571  0.9223  1 Ni 2.01, 1 Cr 2.07
F  0.9022  0.7008  0.4215  2 Ni 2.06-2.11, 1 Cr 2.10
F  0.0978  0.2992  0.5785  2 Ni 2.06-2.11, 1 Cr 2.10
F  0.4807  0.7793  0.5785  2 Ni 2.06-2.11, 1 Cr 2.10
F  0.2876  0.4429  0.0777  1 Ni 2.01, 1 Cr 2.07
F  0.5193  0.2207  0.4215  2 Ni 2.06-2.11, 1 Cr 2.10
F  0.7901  0.1348  0.0777  1 Ni 2.01, 1 Cr 2.07

**Uncorrected energy**: -5.210 eV per atom
**Calculated density**: 4.3 g cm⁻³



A relaxed structure of CrNiF2, computed with PBE+U.

a = 4.0628 Å, b = 4.0628 Å, c = 4.0628 Å
α = 60.00°, β = 60.00°, γ = 60.00°
Closest atoms and distances in Å follow each position.
Fractional positions:
Ni  0.5000  0.5000  0.5000  8 F 2.49
F  0.2500  0.2500  0.2500  4 Ni 2.49, 4 Cr 2.49
F  0.7500  0.7500  0.7500  4 Cr 2.49, 4 Ni 2.49
Cr  0.0000  0.0000  0.0000  8 F 2.49

**Energy above the lowest structure with this stoichiometry**: 461 meV/atom
**Uncorrected energy**: -4.010 eV per atom
**Calculated density**: 5.2 g cm⁻³



A relaxed structure of CrNiF2, computed with PBE+U.

a = 5.0604 Å, b = 5.0604 Å, c = 6.1061 Å
α = 65.52°, β = 65.52°, γ = 90.00°
Closest atoms and distances in Å follow each position.
Fractional positions:
Ni  0.0000  0.0000  0.0000  4 F 2.15
Ni  0.7500  0.2500  0.5000  4 F 2.15
F  0.6328  0.1250  0.2500  2 Ni 2.15, 2 Cr 2.20
F  0.1172  0.6250  0.2500  2 Ni 2.15, 2 Cr 2.20
F  0.3750  0.3672  0.7500  2 Ni 2.15, 2 Cr 2.20
F  0.8750  0.8828  0.7500  2 Ni 2.15, 2 Cr 2.20
Cr  0.5000  0.5000  0.0000  4 F 2.20
Cr  0.2500  0.7500  0.5000  4 F 2.20

**Energy above the lowest structure with this stoichiometry**: 0 meV/atom
**Uncorrected energy**: -4.471 eV per atom
**Calculated density**: 3.9 g cm⁻³



A relaxed structure of Cr2NiF, computed with PBE+U.

a = 6.3404 Å, b = 6.3404 Å, c = 5.4683 Å
α = 54.57°, β = 54.57°, γ = 90.00°
Closest atoms and distances in Å follow each position.
Fractional positions:
Ni  0.0000  0.0000  0.0000  4 Cr 2.56
Ni  0.7500  0.2500  0.5000  4 Cr 2.56
F  0.5000  0.5000  0.0000  4 Cr 2.21
F  0.2500  0.7500  0.5000  4 Cr 2.21
Cr  0.5840  0.1250  0.2500  2 F 2.21
Cr  0.1660  0.6250  0.2500  2 F 2.21
Cr  0.3750  0.4160  0.7500  2 F 2.21
Cr  0.8750  0.8340  0.7500  2 F 2.21

**Energy above the lowest structure with this stoichiometry**: 0 meV/atom
**Uncorrected energy**: -4.653 eV per atom
**Calculated density**: 4.8 g cm⁻³



A relaxed structure of CrNi2PF, computed with PBE+U.

a = 4.9155 Å, b = 4.3594 Å, c = 4.9155 Å
α = 90.00°, β = 90.00°, γ = 90.00°
Closest atoms and distances in Å follow each position.
Fractional positions:
Ni  0.0000  0.0000  0.5000  2 Cr 2.46
Ni  0.5000  0.0000  0.0000  2 Cr 2.46
F  0.5000  0.5000  0.5000  8 Ni 3.29, 4 P 3.48
P  0.0000  0.5000  0.0000  2 Cr 2.18
Cr  0.0000  0.0000  0.0000  2 P 2.18

**Uncorrected energy**: -3.020 eV per atom
**Calculated density**: 3.5 g cm⁻³



A relaxed structure of CrNiPbF6, computed with PBE+U.

a = 5.4800 Å, b = 5.4800 Å, c = 10.5635 Å
α = 90.00°, β = 90.00°, γ = 120.00°
Closest atoms and distances in Å follow each position.
Fractional positions:
Cr  0.6667  0.3333  0.2500  6 F 2.12
Cr  0.3333  0.6667  0.7500  6 F 2.12
Ni  0.3333  0.6667  0.2500  6 F 2.04
Ni  0.6667  0.3333  0.7500  6 F 2.04
Pb  0.0000  0.0000  0.0000  6 F 2.50
Pb  0.0000  0.0000  0.5000  6 F 2.50
F  0.6319  0.6435  0.1439  1 Ni 2.04, 1 Cr 2.12
F  0.0116  0.3681  0.1439  1 Ni 2.04, 1 Cr 2.12
F  0.3681  0.0116  0.6439  1 Ni 2.04, 1 Cr 2.12
F  0.9884  0.6319  0.8561  1 Ni 2.04, 1 Cr 2.12
F  0.3565  0.3681  0.3561  1 Ni 2.04, 1 Cr 2.12
F  0.0116  0.6435  0.3561  1 Ni 2.04, 1 Cr 2.12
F  0.6435  0.0116  0.8561  1 Ni 2.04, 1 Cr 2.12
F  0.6319  0.9884  0.3561  1 Ni 2.04, 1 Cr 2.12
F  0.9884  0.3565  0.6439  1 Ni 2.04, 1 Cr 2.12
F  0.3565  0.9884  0.1439  1 Ni 2.04, 1 Cr 2.12
F  0.6435  0.6319  0.6439  1 Ni 2.04, 1 Cr 2.12
F  0.3681  0.3565  0.8561  1 Ni 2.04, 1 Cr 2.12

**Uncorrected energy**: -5.075 eV per atom
**Calculated density**: 5.2 g cm⁻³



A relaxed structure of Rb3CrNi2F9, computed with PBE+U.

a = 5.8512 Å, b = 5.8512 Å, c = 7.1618 Å
α = 90.00°, β = 90.00°, γ = 120.00°
Closest atoms and distances in Å follow each position.
Fractional positions:
Rb  0.3333  0.6667  0.6688  12 F 2.91-2.93
Rb  0.0000  0.0000  0.0000  12 F 2.93
Rb  0.6667  0.3333  0.3312  12 F 2.91-2.93
Cr  0.0000  0.0000  0.5000  6 F 2.10
Ni  0.3333  0.6667  0.1658  6 F 2.04-2.06
Ni  0.6667  0.3333  0.8342  6 F 2.04-2.06
F  0.8305  0.1695  0.6687  1 Ni 2.04, 1 Cr 2.10
F  0.8305  0.6610  0.6687  1 Ni 2.04, 1 Cr 2.10
F  0.3390  0.1695  0.6687  1 Ni 2.04, 1 Cr 2.10
F  0.6610  0.8305  0.3313  1 Ni 2.04, 1 Cr 2.10
F  0.1695  0.3390  0.3313  1 Ni 2.04, 1 Cr 2.10
F  0.1695  0.8305  0.3313  1 Ni 2.04, 1 Cr 2.10
F  0.5000  0.0000  0.0000  2 Ni 2.06
F  0.0000  0.5000  0.0000  2 Ni 2.06
F  0.5000  0.5000  0.0000  2 Ni 2.06

**Uncorrected energy**: -8.229 eV per atom
**Calculated density**: 4.7 g cm⁻³



A relaxed structure of RbCr2NiF8, computed with PBE+U.

a = 5.1089 Å, b = 4.9539 Å, c = 6.8015 Å
α = 89.99°, β = 89.99°, γ = 86.37°
Closest atoms and distances in Å follow each position.
Fractional positions:
Rb  0.0000  0.0000  0.5000  6 F 2.54-2.56
Cr  0.5000  0.5000  0.7628  6 F 1.97-2.15
Cr  0.5000  0.5000  0.2372  6 F 1.97-2.15
Ni  0.0000  0.0000  0.0000  4 F 2.01
F  0.2003  0.7654  0.1977  1 Cr 1.97, 1 Ni 2.01
F  0.6768  0.7091  0.0000  2 Cr 2.15, 1 Ni 2.26
F  0.7996  0.2345  0.1977  1 Cr 1.97, 1 Ni 2.01
F  0.7997  0.2346  0.8023  1 Cr 1.97, 1 Ni 2.01
F  0.3232  0.2909  0.0000  2 Cr 2.15, 1 Ni 2.26
F  0.2004  0.7655  0.8023  1 Cr 1.97, 1 Ni 2.01
F  0.6247  0.6823  0.5000  2 Cr 2.12, 1 F 2.28
F  0.3753  0.3177  0.5000  2 Cr 2.12, 1 F 2.28

**Uncorrected energy**: -5.242 eV per atom
**Calculated density**: 3.9 g cm⁻³